[1]
Crystalline Mn2TcCl at its relaxed geometry, computed with PBE.

```
Mn2TcCl
1.0
-1.932 3.627 1.695
-3.102 3.057 -0.891
-3.347 -2.852 2.142
Tc Cl Mn
1 1 2
Cartesian
-4.164 2.281 1.380
-6.391 2.450 2.351
-2.157 1.027 0.749
-8.241 3.820 2.885
```

Crystal system: monoclinic
Uncorrected energy: -7.149 eV/atom
ΔE_f (raw): 0.489 eV/atom
Distance to the lowest polymorph of the same formula: 405 meV/atom
SG: Cm, No. 8



[2]
Crystalline PuPdPb at its relaxed geometry, computed with PBE.

```
PuPdPb
1.0
3.287 0.000 0.000
-1.643 6.632 0.000
0.000 0.000 6.692
Pb Pd Pu
2 2 2
Cartesian
1.643 1.701 5.019
0.000 4.931 1.673
0.000 0.000 0.000
0.000 0.000 3.346
1.643 2.020 1.673
0.000 4.611 5.019
```

Crystal system: orthorhombic
Uncorrected energy: -7.985 eV/atom
SG: Cmcm, No. 63
Formation energy: -0.24 eV/atom



What is the uncorrected energy in the first record? -7.149 eV/atom



uncorrected energy of number 1 (Mn2TcCl)? -7.149 eV/atom



Which of these has the lowest uncorrected energy? PuPdPb